# 1
{
  "formula": "PuMgGeSb",
  "functional": "GGA-PBE",
  "state": "relaxed",
  "volume_a3_per_atom": 23.4,
  "e_form_raw_ev_per_atom": -0.251,
  "lattice": [[-4.844, 1.563, 0.201], [-3.746, -3.117, -1.483], [-3.176, -1.987, 3.451]],
  "species": ["Ge", "Sb", "Pu", "Mg"],
  "fractional_positions": [[0.000, 0.000, 0.000], [0.500, 0.500, 0.500], [0.750, 0.750, 0.750], [0.250, 0.250, 0.250]]
}


# 2
{
  "formula": "Li3Cu3Rh",
  "functional": "GGA-PBE",
  "state": "relaxed",
  "volume_a3_per_atom": 14.2,
  "e_form_mev_per_atom": -53,
  "lattice": [[-0.534, -0.796, 4.164], [-7.179, -0.949, -1.102], [4.568, -5.703, -0.504]],
  "species": ["Cu", "Rh", "Cu", "Cu", "Cu", "Li", "Li", "Cu", "Li", "Li", "Li", "Cu", "Li", "Rh"],
  "fractional_positions": [[0.750, 0.451, 0.899], [0.250, 0.333, 0.667], [0.250, 0.552, 0.451], [0.250, 0.549, 0.101], [0.750, 0.101, 0.552], [0.750, 0.858, 0.719], [0.250, 0.719, 0.862], [0.250, 0.899, 0.448], [0.750, 0.281, 0.138], [0.250, 0.142, 0.281], [0.750, 0.862, 0.142], [0.750, 0.448, 0.549], [0.250, 0.138, 0.858], [0.750, 0.667, 0.333]]
}


# 3
{
  "formula": "NdCu2Pt4",
  "functional": "GGA-PBE",
  "state": "relaxed",
  "de_polymorph_ev_per_fu": 0.00,
  "volume_a3_per_atom": 17.1,
  "e_form_mev_per_atom": -459,
  "lattice": [[-4.332, 0.989, 2.632], [-3.550, -4.079, 0.774], [0.047, -0.687, 5.419]],
  "species": ["Pt", "Nd", "Cu", "Cu", "Pt", "Pt", "Pt"],
  "fractional_positions": [[0.301, 0.398, 0.999], [0.000, 0.000, 0.000], [0.750, 0.500, 0.500], [0.250, 0.500, 0.500], [0.699, 0.001, 0.602], [0.301, 0.999, 0.398], [0.699, 0.602, 0.001]]
}


# 4
{
  "formula": "AsP7",
  "functional": "GGA-PBE",
  "state": "relaxed",
  "volume_a3_per_atom": 15.1,
  "e_form_mev_per_atom": 868,
  "lattice": [[0.000, 3.923, 3.923], [3.923, 0.000, 3.923], [3.923, 3.923, 0.000]],
  "species": ["P", "P", "P", "P", "P", "As", "P", "P"],
  "fractional_positions": [[0.000, 0.500, 0.000], [0.500, 0.000, 0.500], [0.000, 0.000, 0.500], [0.500, 0.500, 0.500], [0.500, 0.500, 0.000], [0.000, 0.000, 0.000], [0.500, 0.000, 0.000], [0.000, 0.500, 0.500]]
}


# 5
{
  "formula": "Dy8Er6Th",
  "functional": "GGA-PBE",
  "state": "relaxed",
  "volume_a3_per_atom": 31.7,
  "e_form_mev_per_atom": 128,
  "lattice": [[8.960, 0.000, 0.000], [4.480, 7.760, 0.000], [4.480, 2.587, 6.845]],
  "species": ["Dy", "Er", "Th", "Dy", "Er", "Dy", "Er", "Er", "Er", "Dy", "Er", "Dy", "Dy", "Dy", "Dy"],
  "fractional_positions": [[0.577, 0.577, 0.268], [0.764, 0.463, 0.876], [0.000, 0.000, 0.000], [0.423, 0.423, 0.732], [0.463, 0.897, 0.876], [0.248, 0.282, 0.582], [0.897, 0.764, 0.876], [0.103, 0.236, 0.124], [0.236, 0.537, 0.124], [0.718, 0.112, 0.418], [0.537, 0.103, 0.124], [0.752, 0.718, 0.418], [0.282, 0.888, 0.582], [0.888, 0.248, 0.582], [0.112, 0.752, 0.418]]
}


# 6
{
  "formula": "Sm6Tm2Tl",
  "functional": "GGA-PBE",
  "state": "relaxed",
  "de_polymorph_ev_per_fu": 0.30,
  "volume_a3_per_atom": 31.7,
  "e_form_mev_per_atom": -3,
  "lattice": [[6.238, -1.002, 0.112], [-1.788, 9.511, 5.893], [-3.105, 1.848, 10.739]],
  "species": ["Sm", "Tm", "Sm", "Tl", "Sm", "Sm", "Sm", "Sm", "Tl", "Sm", "Sm", "Tm", "Sm", "Sm", "Sm", "Tm", "Tm", "Sm"],
  "fractional_positions": [[0.283, 0.492, 0.348], [0.577, 0.828, 0.672], [0.942, 0.153, 0.008], [0.750, 0.751, 0.249], [0.558, 0.992, 0.847], [0.217, 0.652, 0.508], [0.080, 0.080, 0.581], [0.058, 0.847, 0.992], [0.250, 0.249, 0.751], [0.420, 0.419, 0.920], [0.783, 0.348, 0.492], [0.077, 0.672, 0.828], [0.580, 0.581, 0.080], [0.442, 0.008, 0.153], [0.920, 0.920, 0.419], [0.423, 0.172, 0.328], [0.923, 0.328, 0.172], [0.717, 0.508, 0.652]]
}


# 7
{
  "formula": "La6Nd2ErMg",
  "functional": "GGA-PBE",
  "state": "relaxed",
  "volume_a3_per_atom": 34.9,
  "e_form_mev_per_atom": 88,
  "lattice": [[-6.680, -3.782, -5.591], [-3.106, -3.545, 7.381], [-3.359, 8.086, -0.183]],
  "species": ["La", "La", "Nd", "Er", "La", "Nd", "La", "La", "Nd", "La", "La", "La", "Mg", "La", "Nd", "La", "La", "Er", "Mg", "La"],
  "fractional_positions": [[0.099, 0.679, 0.434], [0.599, 0.434, 0.679], [0.909, 0.736, 0.801], [0.250, 0.931, 0.069], [0.083, 0.080, 0.747], [0.409, 0.801, 0.736], [0.417, 0.253, 0.920], [0.675, 0.968, 0.541], [0.591, 0.199, 0.264], [0.175, 0.541, 0.968], [0.917, 0.920, 0.253], [0.825, 0.459, 0.032], [0.750, 0.596, 0.404], [0.901, 0.321, 0.566], [0.091, 0.264, 0.199], [0.325, 0.032, 0.459], [0.583, 0.747, 0.080], [0.750, 0.069, 0.931], [0.250, 0.404, 0.596], [0.401, 0.566, 0.321]]
}


# 8
{
  "formula": "Fe2AsP",
  "functional": "GGA-PBE",
  "state": "relaxed",
  "volume_a3_per_atom": 12.0,
  "e_form_mev_per_atom": -40,
  "lattice": [[-5.459, 2.312, 4.155], [-6.799, 0.555, 2.424], [-5.491, -0.441, 4.698]],
  "species": ["Fe", "As", "Fe", "P"],
  "fractional_positions": [[0.994, 0.994, 0.994], [0.750, 0.750, 0.750], [0.506, 0.506, 0.506], [0.250, 0.250, 0.250]]
}


# 9
{
  "formula": "Zr2InBr",
  "functional": "GGA-PBE",
  "state": "relaxed",
  "de_polymorph_ev_per_fu": 0.76,
  "volume_a3_per_atom": 23.2,
  "e_form_raw_ev_per_atom": -0.228,
  "lattice": [[-1.322, -3.787, 0.095], [2.679, -0.894, 1.665], [-3.328, 1.314, 6.079]],
  "species": ["In", "Br", "Zr", "Zr"],
  "fractional_positions": [[0.500, 0.750, 0.750], [0.500, 0.250, 0.250], [0.000, 0.251, 0.507], [0.000, 0.249, 0.993]]
}


# 10
{
  "formula": "LaY2GeN",
  "functional": "GGA-PBE",
  "state": "relaxed",
  "volume_a3_per_atom": 22.8,
  "e_form_raw_ev_per_atom": -0.939,
  "lattice": [[4.765, 0.000, 0.000], [0.000, 4.765, 0.000], [0.000, 0.000, 5.013]],
  "species": ["Y", "N", "La", "Y", "Ge"],
  "fractional_positions": [[0.000, 0.500, 0.000], [0.000, 0.000, 0.000], [0.000, 0.000, 0.500], [0.500, 0.000, 0.000], [0.500, 0.500, 0.500]]
}


# 11
{
  "formula": "Na3PmNd2O6",
  "functional": "GGA-PBE",
  "state": "relaxed",
  "volume_a3_per_atom": 15.6,
  "e_form_raw_ev_per_atom": -2.622,
  "lattice": [[-1.968, -2.985, -0.183], [5.517, -3.763, 2.069], [-2.250, 3.212, 6.807]],
  "species": ["O", "Na", "Nd", "Na", "O", "O", "O", "Na", "Pm", "O", "Nd", "O"],
  "fractional_positions": [[0.007, 0.229, 0.014], [0.835, 0.168, 0.669], [0.167, 0.332, 0.333], [0.165, 0.832, 0.331], [0.993, 0.771, 0.986], [0.342, 0.900, 0.683], [0.326, 0.436, 0.653], [0.500, 0.500, 0.000], [0.500, 0.000, 0.000], [0.658, 0.100, 0.317], [0.833, 0.668, 0.667], [0.674, 0.564, 0.347]]
}


# 12
{
  "formula": "LiAc2Tl2Hg4",
  "functional": "GGA-PBE",
  "state": "relaxed",
  "volume_a3_per_atom": 27.8,
  "e_form_mev_per_atom": -351,
  "lattice": [[-2.611, 2.780, 5.966], [3.843, -5.944, 0.207], [5.295, 3.219, -3.427]],
  "species": ["Hg", "Ac", "Tl", "Ac", "Hg", "Hg", "Hg", "Li", "Tl"],
  "fractional_positions": [[0.000, 0.731, 0.269], [0.500, 0.250, 0.750], [0.000, 0.724, 0.724], [0.500, 0.750, 0.250], [0.000, 0.269, 0.731], [0.463, 0.731, 0.731], [0.537, 0.269, 0.269], [0.000, 0.000, 0.000], [0.000, 0.276, 0.276]]
}